# 1
Compound: Na4PbBr6
Source: Alexandria via LeMat-Bulk
Functional: GGA-PBE
Structure: relaxed

Summary:
Formation energy from raw total energies = -14.1 eV per formula unit
SG = R-3c, No. 167
Calculated volume = 370 Å³/f.u.

```
Na4PbBr6
1.0
6.500 3.753 5.056
-6.500 3.753 5.056
0.000 -7.505 5.056
Na Pb Br
8 2 12
Cartesian
-4.295 0.066 6.320
0.000 0.000 3.792
-2.205 -3.687 8.848
2.091 -3.753 6.320
-2.091 3.753 8.848
2.205 3.687 6.320
0.000 0.000 11.376
4.295 -0.066 8.848
0.000 0.000 0.000
0.000 0.000 7.584
-5.771 -1.453 8.360
-1.628 -5.725 6.808
-1.628 -1.781 5.832
-4.144 4.272 6.808
-0.728 2.300 5.832
-2.356 0.519 9.336
2.356 -0.519 5.832
0.728 -2.300 9.336
4.144 -4.272 8.360
1.628 1.781 9.336
1.628 5.725 8.360
5.771 1.453 6.808
```

***

# 2
Compound: Tb3YTm4S8
Source: Alexandria via LeMat-Bulk
Functional: GGA-PBE
Structure: relaxed

Summary:
Formation energy from raw total energies = -31.5 eV per formula unit
SG = R-3m, No. 166
Calculated volume = 332 Å³/f.u.

```
Tb3YTm4S8
1.0
3.875 2.237 6.373
-3.875 2.237 6.373
0.000 -4.474 6.373
Tb Y Tm S
3 1 4 8
Cartesian
-1.937 -1.119 6.373
-1.937 1.119 12.747
0.000 2.237 6.373
0.000 0.000 0.000
-3.875 0.000 9.560
-1.937 1.119 3.187
1.937 1.119 3.187
0.000 0.000 9.560
0.000 0.000 4.723
-1.940 -1.120 11.098
0.000 -2.240 8.022
-1.940 1.120 8.022
1.940 -1.120 11.098
0.000 2.240 11.098
1.940 1.120 8.022
0.000 0.000 14.397
```

***

# 3
Compound: SiOs2Br
Source: Alexandria via LeMat-Bulk
Functional: GGA-PBE
Structure: relaxed

Summary:
Formation energy from raw total energies = 2.6 eV per formula unit
SG = Cmmm, No. 65
Energy relative to the lowest polymorph listed for this composition = 194 meV per atom
Calculated volume = 75 Å³/f.u.

```
SiOs2Br
1.0
1.424 -2.364 0.000
1.424 2.364 0.000
0.000 0.000 11.092
Si Os Br
1 2 1
Cartesian
0.000 0.000 0.000
1.424 0.000 1.898
1.424 0.000 9.194
0.000 0.000 5.546
```